[1]
## HoErTmTl (PBE)

Data for a geometry-optimized HoErTmTl structure.

```
HoErTmTl
1.0
-2.632 2.823 3.804
-5.290 1.034 -0.567
-3.603 -2.474 3.204
Tl Tm Ho Er
1 1 1 1
Direct
0.000 0.000 0.000
0.500 0.500 0.500
0.250 0.250 0.250
0.750 0.750 0.750
```

Computed properties:
Space-group type   No. 216
ΔE to the lowest computed polymorph   148 meV per atom
Mass density   10.4 g cm⁻³



[2]
## HoEr2TmTl2 (PBE)

Data for a geometry-optimized HoEr2TmTl2 structure.

```
HoEr2TmTl2
1.0
5.039 0.000 0.000
0.000 6.785 0.000
0.000 0.000 9.870
Ho Er Tm Tl
2 4 2 4
Direct
0.000 0.961 0.458
0.000 0.461 0.542
0.500 0.054 0.043
0.000 0.338 0.187
0.500 0.554 0.957
0.000 0.838 0.813
0.500 0.177 0.689
0.500 0.677 0.311
0.000 0.300 0.867
0.500 0.216 0.368
0.000 0.800 0.133
0.500 0.716 0.632
```

Computed properties:
Space-group type   No. 26
Mass density   10.6 g cm⁻³
Raw total energy   -24.5 eV per formula unit



[3]
## YHoErTl (PBE)

Data for a geometry-optimized YHoErTl structure.

```
YHoErTl
1.0
5.450 0.000 0.000
2.725 4.720 0.000
2.725 1.573 4.450
Y Tl Ho Er
1 1 1 1
Direct
0.500 0.500 0.500
0.250 0.250 0.250
0.000 0.000 0.000
0.750 0.750 0.750
```

Computed properties:
Space-group type   No. 216
ΔE to the lowest computed polymorph   143 meV per atom
Mass density   9.1 g cm⁻³



[4]
## YHo2ErTl2 (PBE)

Data for a geometry-optimized YHo2ErTl2 structure.

```
YHo2ErTl2
1.0
-4.868 1.131 -0.781
-1.516 -6.674 -0.218
-1.560 0.035 9.781
Y Ho Er Tl
2 4 2 4
Direct
0.000 0.959 0.455
0.000 0.459 0.545
0.500 0.055 0.045
0.000 0.339 0.187
0.500 0.555 0.955
0.000 0.839 0.813
0.500 0.175 0.690
0.500 0.675 0.310
0.000 0.299 0.868
0.500 0.218 0.369
0.000 0.799 0.132
0.500 0.718 0.631
```

Computed properties:
Space-group type   No. 26
Mass density   9.6 g cm⁻³
Raw total energy   -26.6 eV per formula unit